# LiMg4Si

A geometry-optimized LiMg4Si structure (PBEsol, Alexandria).

Output
- Energy relative to the elements, uncorrected: 0.247 eV per atom

Unit cell a=8.0285 b=8.0285 c=8.0285 alpha=90.00 beta=90.00 gamma=90.00
Space group F-43m (No. 216)
Inequivalent atoms, fractional coordinates:
Li 0.0000 0.0000 0.0000 x4
Mg 0.1247 0.1247 0.6247 x16
Si 0.2500 0.2500 0.2500 x4

# LiMg2Si

A geometry-optimized LiMg2Si structure (PBEsol, Alexandria).

Output
- Energy relative to the elements, uncorrected: -0.064 eV per atom

Unit cell a=4.1678 b=4.1711 c=8.0946 alpha=90.00 beta=90.00 gamma=90.00
Space group Imm2 (No. 44)
Inequivalent atoms, fractional coordinates:
Li 0.0000 0.0000 0.0000 x2
Mg 0.0000 0.0000 0.5006 x2
Mg 0.0000 0.5000 0.7504 x2
Si 0.0000 0.5000 0.2507 x2

# LiMg2Si

A geometry-optimized LiMg2Si structure (PBEsol, Alexandria).

Output
- Energy relative to the elements, uncorrected: -0.006 eV per atom

Unit cell a=9.3598 b=2.9872 c=5.3052 alpha=90.00 beta=98.15 gamma=90.00
Space group C2/m (No. 12)
Inequivalent atoms, fractional coordinates:
Li 0.0000 0.0000 0.0000 x2
Mg 0.2407 0.0000 0.7435 x4
Si 0.0000 0.5000 0.5000 x2

# LiMg2Si

A geometry-optimized LiMg2Si structure (PBEsol, Alexandria).

Output
- Energy relative to the elements, uncorrected: -0.109 eV per atom

Unit cell a=4.2233 b=4.2233 c=3.9121 alpha=90.00 beta=90.00 gamma=90.00
Space group P4/mmm (No. 123)
Inequivalent atoms, fractional coordinates:
Li 0.0000 0.0000 0.0000 x1
Mg 0.0000 0.5000 0.5000 x2
Si 0.5000 0.5000 0.0000 x1

# Sr2LiMgSi3

A geometry-optimized Sr2LiMgSi3 structure (PBEsol, Alexandria).

Output
- Energy relative to the elements, uncorrected: -0.441 eV per atom

Unit cell a=4.5582 b=19.3169 c=7.0983 alpha=90.00 beta=90.00 gamma=90.00
Space group Cmc2_1 (No. 36)
Inequivalent atoms, fractional coordinates:
Sr 0.0000 0.0553 0.0000 x4
Sr 0.0000 0.1542 0.5137 x4
Li 0.0000 0.3086 0.2993 x4
Mg 0.0000 0.3106 0.6927 x4
Si 0.0000 0.2214 0.9957 x4
Si 0.0000 0.4464 0.8334 x4
Si 0.0000 0.4469 0.1687 x4

# LiMgSn

A geometry-optimized LiMgSn structure (PBEsol, Alexandria).

Output
- Calculated formation energy: -331 meV per atom

Unit cell a=3.3738 b=4.5905 c=7.9582 alpha=90.00 beta=90.00 gamma=90.00
Space group Pmmn (No. 59, origin choice 2)
Inequivalent atoms, fractional coordinates:
Li 0.2500 0.2500 0.0393 x2
Mg 0.2500 0.7500 0.6171 x2
Sn 0.2500 0.7500 0.2508 x2

# Li2MgSn

A geometry-optimized Li2MgSn structure (PBEsol, Alexandria).

Output
- Calculated formation energy: -359 meV per atom

Unit cell a=6.5946 b=6.5946 c=6.5946 alpha=90.00 beta=90.00 gamma=90.00
Space group Fm-3m (No. 225)
Inequivalent atoms, fractional coordinates:
Li 0.2500 0.2500 0.2500 x8
Mg 0.0000 0.0000 0.0000 x4
Sn 0.0000 0.0000 0.5000 x4

# LiMgSn3

A geometry-optimized LiMgSn3 structure (PBEsol, Alexandria).

Output
- Calculated formation energy: 158 meV per atom

Unit cell a=4.9877 b=4.9877 c=4.9877 alpha=90.00 beta=90.00 gamma=90.00
Space group Pm-3m (No. 221)
Inequivalent atoms, fractional coordinates:
Li 0.0000 0.0000 0.0000 x1
Mg 0.5000 0.5000 0.5000 x1
Sn 0.0000 0.0000 0.5000 x3